GGA-PBE AcPaSi2, optimized geometry; energy above the most stable polymorph in this dataset = 1.13 eV per formula unit; SG = No. 123; final energy = -6.261 eV/atom; density of states at the Fermi level = 5.2 states/eV/cell; formation energy without anion corrections = -0.148 eV/atom
1.0
4.898 0.000 0.000
0.000 4.898 0.000
0.000 0.000 3.994
Ac Pa Si
1 1 2
Cartesian
0.000 0.000 0.000
2.449 2.449 0.000
0.000 2.449 1.997
2.449 0.000 1.997